A relaxed LaPdPb3 crystal. Source: the Alexandria database, functional PBE.

Cell and atoms, written as POSCAR:
```
LaPdPb3
1.0
6.0563 0.0000 0.0000
0.0000 6.0563 0.0000
0.0000 0.0000 6.0563
Pd La Pb
1 1 3
direct
0.5000 0.5000 0.5000
0.0000 0.0000 0.0000
0.5000 0.0000 0.0000
0.0000 0.5000 0.0000
0.0000 0.0000 0.5000
```

## Properties
Formation enthalpy at 0 K, eV per atom: 0.9653
Excess energy over the best structure of this formula in the dataset, meV per atom: 1084
Volume, A^3/atom: 44.43
D(E_F), states/eV per atom: 0.816